Record 1
## LaTl2Pb (PBE-GGA)

Data for an optimized crystal structure of LaTl2Pb.

a b c (Å): 10.9666 10.9666 10.9666
angles (deg): 19.29 19.29 19.29
Last column: nearest neighbours and their distance in Å.
Fractional positions:
La (0.2500, 0.2500, 0.2500)  6 Tl 3.48, 6 La 3.68
Pb (0.7500, 0.7500, 0.7500)  6 Tl 3.37, 6 Pb 3.68
Tl (0.0022, 0.0022, 0.0022)  3 Pb 3.37, 3 La 3.48, 6 Tl 3.68
Tl (0.4978, 0.4978, 0.4978)  3 Pb 3.37, 3 La 3.48, 6 Tl 3.68

Summary:
The formation energy comes out at -87 meV per atom. The crystal system is trigonal. Its density of states at the Fermi level is 1.054 states/eV per atom. The value obtained for the total energy is -3.43 eV per atom.


Record 2
## PmSbCl (PBE-GGA)

Data for an optimized crystal structure of PmSbCl.

a b c (Å): 3.7363 4.9786 4.9786
angles (deg): 120.00 90.00 90.00
Last column: nearest neighbours and their distance in Å.
Fractional positions:
Sb (0.6666, 0.6667, 0.3333)  6 Cl 3.43, 6 Pm 3.43, 2 Sb 3.74
Cl (0.1668, 0.3333, 0.6667)  3 Pm 2.87
Pm (0.1666, 0.0000, 0.0000)  3 Cl 2.87

Summary:
The crystal system is hexagonal. The calculation puts the formation energy from raw total energies at -1.12 eV/atom. Its density of states at the Fermi level is 1.042 states/eV per atom. The value obtained for the total energy is -4.70 eV per atom. The calculation puts the distance to the lowest polymorph of the same formula at 316 meV per atom.


Record 3
## LaCrMo2 (PBE-GGA)

Data for an optimized crystal structure of LaCrMo2.

a b c (Å): 4.6961 4.6961 3.2396
angles (deg): 90.00 90.00 90.00
Last column: nearest neighbours and their distance in Å.
Fractional positions:
Cr (0.5000, 0.0000, 0.5000)  8 Mo 2.85
La (0.0000, 0.5000, 0.5000)  8 Mo 2.85
Mo (0.0000, 0.0000, 0.0000)  4 Cr 2.85, 4 La 2.85
Mo (0.5000, 0.5000, 0.0000)  4 Cr 2.85, 4 La 2.85

Summary:
The formation energy comes out at 808 meV per atom. The crystal system is tetragonal. Its density of states at the Fermi level is 1.303 states/eV per atom. The value obtained for the total energy is -8.25 eV per atom. The calculation puts the distance to the lowest polymorph of the same formula at 394 meV per atom.


Record 4
## TlCo2SbBr (PBE-GGA)

Data for an optimized crystal structure of TlCo2SbBr.

a b c (Å): 5.0377 5.6357 5.0377
angles (deg): 90.00 90.00 90.00
Last column: nearest neighbours and their distance in Å.
Fractional positions:
Sb (0.0000, 0.5000, 0.0000)  2 Tl 2.82
Tl (0.0000, 0.0000, 0.0000)  4 Co 2.52, 2 Sb 2.82
Co (0.0000, 0.0000, 0.5000)  2 Tl 2.52
Co (0.5000, 0.0000, 0.0000)  2 Tl 2.52
Br (0.5000, 0.5000, 0.5000)  4 Sb 3.56, 8 Co 3.78

Summary:
The crystal system is tetragonal. The calculation puts the formation energy from raw total energies at 1.30 eV/atom. Its density of states at the Fermi level is 1.715 states/eV per atom. The value obtained for the total energy is -3.17 eV per atom.


Record 5
## CdHgSe2 (PBE-GGA)

Data for an optimized crystal structure of CdHgSe2.

a b c (Å): 4.4073 7.2083 7.6186
angles (deg): 90.00 89.97 90.01
Last column: nearest neighbours and their distance in Å.
Fractional positions:
Hg (0.7499, 0.5227, 0.9200)  4 Se 2.70-2.72
Hg (0.2554, 0.0227, 0.0900)  4 Se 2.70-2.72
Se (0.2506, 0.3996, 0.0900)  1 Cd 2.69, 3 Hg 2.70-2.72
Se (0.2540, 0.8976, 0.4254)  3 Cd 2.69, 1 Hg 2.71
Se (0.7547, 0.8996, 0.9200)  1 Cd 2.69, 3 Hg 2.70-2.72
Se (0.7522, 0.3976, 0.5846)  3 Cd 2.69, 1 Hg 2.71
Cd (0.2524, 0.5242, 0.4223)  4 Se 2.69
Cd (0.7542, 0.0243, 0.5878)  4 Se 2.69

Summary:
The crystal system is monoclinic. The calculation puts the formation energy from raw total energies at -0.41 eV/atom. Its density of states at the Fermi level is 0.016 states/eV per atom. The value obtained for the total energy is -2.46 eV per atom. The calculation puts the distance to the lowest polymorph of the same formula at 3 meV per atom.


Record 6
## Ba2Cd2HgPd5 (PBE-GGA)

Data for an optimized crystal structure of Ba2Cd2HgPd5.

a b c (Å): 3.7871 10.9223 10.9223
angles (deg): 90.00 90.00 90.00
Last column: nearest neighbours and their distance in Å.
Fractional positions:
Ba (0.0000, 0.6749, 0.1749)  3 Cd 3.07-3.33, 2 Pd 3.30
Ba (0.0000, 0.3251, 0.8251)  3 Cd 3.07-3.33, 2 Pd 3.30
Ba (0.0000, 0.1749, 0.3251)  3 Cd 3.07-3.33, 2 Pd 3.30
Ba (0.0000, 0.8251, 0.6749)  3 Cd 3.07-3.33, 2 Pd 3.30
Cd (0.0000, 0.1263, 0.6263)  6 Pd 2.72-2.83
Cd (0.0000, 0.8737, 0.3737)  6 Pd 2.72-2.83
Cd (0.0000, 0.6263, 0.8737)  6 Pd 2.72-2.83
Cd (0.0000, 0.3737, 0.1263)  6 Pd 2.72-2.83
Hg (0.0000, 0.0000, 0.0000)  8 Pd 2.91
Hg (0.0000, 0.5000, 0.5000)  8 Pd 2.91
Pd (0.5000, 0.1940, 0.0556)  2 Cd 2.83, 2 Hg 2.91, 2 Pd 3.12
Pd (0.5000, 0.8060, 0.9444)  2 Cd 2.83, 2 Hg 2.91, 2 Pd 3.12
Pd (0.5000, 0.0556, 0.8060)  2 Cd 2.83, 2 Hg 2.91, 2 Pd 3.12
Pd (0.5000, 0.6940, 0.4444)  2 Cd 2.83, 2 Hg 2.91, 2 Pd 3.12
Pd (0.5000, 0.9444, 0.1940)  2 Cd 2.83, 2 Hg 2.91, 2 Pd 3.12
Pd (0.5000, 0.3060, 0.5556)  2 Cd 2.83, 2 Hg 2.91, 2 Pd 3.12
Pd (0.5000, 0.5556, 0.6940)  2 Cd 2.83, 2 Hg 2.91, 2 Pd 3.12
Pd (0.5000, 0.4444, 0.3060)  2 Cd 2.83, 2 Hg 2.91, 2 Pd 3.12
Pd (0.5000, 0.5000, 0.0000)  4 Cd 2.72
Pd (0.5000, 0.0000, 0.5000)  4 Cd 2.72

Summary:
The formation energy comes out at -327 meV per atom. The crystal system is tetragonal. Its density of states at the Fermi level is 0.372 states/eV per atom. The value obtained for the total energy is -3.52 eV per atom.


Record 7
## TbPuSO2 (PBE-GGA)

Data for an optimized crystal structure of TbPuSO2.

a b c (Å): 3.7888 3.7888 6.5978
angles (deg): 106.69 106.69 90.00
Last column: nearest neighbours and their distance in Å.
Fractional positions:
Tb (0.1499, 0.1499, 0.2997)  4 O 2.23
Pu (0.8549, 0.8549, 0.7098)  4 O 2.29
S (0.4997, 0.4997, 0.9994)  4 Pu 3.20, 4 Tb 3.23, 8 O 3.54-3.58
O (0.7478, 0.2478, 0.4956)  2 Tb 2.23, 2 Pu 2.29
O (0.2478, 0.7478, 0.4956)  2 Tb 2.23, 2 Pu 2.29

Summary:
The crystal system is tetragonal. The calculation puts the formation energy from raw total energies at -2.77 eV/atom. Its density of states at the Fermi level is 2.165 states/eV per atom. The value obtained for the total energy is -9.37 eV per atom.


Record 8
## PrGd2Pb (PBE-GGA)

Data for an optimized crystal structure of PrGd2Pb.

a b c (Å): 4.9358 4.9523 4.9523
angles (deg): 90.00 90.00 90.00
Last column: nearest neighbours and their distance in Å.
Fractional positions:
Pb (0.5000, 0.0000, 0.0000)  8 Gd 3.50, 4 Pr 3.50
Pr (0.5000, 0.5000, 0.5000)  8 Gd 3.50, 4 Pb 3.50
Gd (0.0000, 0.0000, 0.5000)  4 Pb 3.50, 4 Pr 3.50, 4 Gd 3.50
Gd (0.0000, 0.5000, 0.0000)  4 Pr 3.50, 4 Pb 3.50, 4 Gd 3.50

Summary:
The formation energy comes out at -335 meV per atom. The crystal system is tetragonal. Its density of states at the Fermi level is 1.132 states/eV per atom. The value obtained for the total energy is -9.50 eV per atom. The calculation puts the distance to the lowest polymorph of the same formula at 0 meV per atom.


Record 9
## TaBeGa3 (PBE-GGA)

Data for an optimized crystal structure of TaBeGa3.

a b c (Å): 5.0438 5.0438 5.0438
angles (deg): 90.00 90.00 90.00
Last column: nearest neighbours and their distance in Å.
Fractional positions:
Be (0.5000, 0.5000, 0.5000)  12 Ga 3.57
Ga (0.0000, 0.5000, 0.0000)  2 Ta 2.52
Ga (0.0000, 0.0000, 0.5000)  2 Ta 2.52
Ga (0.5000, 0.0000, 0.0000)  2 Ta 2.52
Ta (0.0000, 0.0000, 0.0000)  6 Ga 2.52

Summary:
The formation energy comes out at 1122 meV per atom. The crystal system is cubic. Its density of states at the Fermi level is 0.936 states/eV per atom. The value obtained for the total energy is -3.81 eV per atom. The calculation puts the distance to the lowest polymorph of the same formula at 415 meV per atom.


Record 10
## LiCdGa (PBE-GGA)

Data for an optimized crystal structure of LiCdGa.

a b c (Å): 3.0963 3.0959 6.1847
angles (deg): 75.52 75.52 90.14
Last column: nearest neighbours and their distance in Å.
Fractional positions:
Li (0.8384, 0.2048, 0.8297)  4 Ga 2.79-2.80, 4 Cd 2.93-2.94, 4 Li 3.10
Cd (0.5071, 0.8734, 0.4909)  4 Li 2.93-2.94, 4 Ga 3.02-3.03, 4 Cd 3.10
Ga (0.1892, 0.5551, 0.1297)  4 Li 2.79-2.80, 4 Cd 3.02-3.03, 4 Ga 3.10

Summary:
The formation energy comes out at -167 meV per atom. The crystal system is orthorhombic. Its density of states at the Fermi level is 0.321 states/eV per atom. The value obtained for the total energy is -2.12 eV per atom. The calculation puts the distance to the lowest polymorph of the same formula at 61 meV per atom.


Record 11
## Cr2AgN3 (PBE-GGA)

Data for an optimized crystal structure of Cr2AgN3.

a b c (Å): 2.9621 2.9621 25.9740
angles (deg): 90.00 90.00 120.00
Last column: nearest neighbours and their distance in Å.
Fractional positions:
Cr (0.3671, 0.0608, 0.1159)  4 N 1.84-2.04
Cr (0.6937, 0.6329, 0.7825)  4 N 1.84-2.04
Cr (0.9392, 0.3063, 0.4492)  4 N 1.84-2.04
Cr (0.6329, 0.6937, 0.2175)  4 N 1.84-2.04
Cr (0.0608, 0.3671, 0.8841)  4 N 1.84-2.04
Cr (0.3063, 0.9392, 0.5508)  4 N 1.84-2.04
Ag (0.0000, 0.3124, 0.6667)  2 N 2.15
Ag (0.3124, 0.0000, 0.3333)  2 N 2.15
Ag (0.6876, 0.6876, 0.0000)  2 N 2.15
N (0.0000, 0.2933, 0.1667)  4 Cr 2.04-2.11
N (0.2933, 0.0000, 0.8333)  4 Cr 2.04-2.11
N (0.7067, 0.7067, 0.5000)  4 Cr 2.04-2.11
N (0.3059, 0.9917, 0.4160)  3 Cr 1.84-1.96
N (0.6858, 0.6941, 0.0826)  3 Cr 1.84-1.96
N (0.0083, 0.3142, 0.7493)  3 Cr 1.84-1.96
N (0.6941, 0.6858, 0.9174)  3 Cr 1.84-1.96
N (0.9917, 0.3059, 0.5840)  3 Cr 1.84-1.96
N (0.3142, 0.0083, 0.2507)  3 Cr 1.84-1.96

Summary:
The crystal system is trigonal. The calculation puts the formation energy from raw total energies at -0.06 eV/atom. Its density of states at the Fermi level is 0.432 states/eV per atom. The value obtained for the total energy is -7.91 eV per atom.


Record 12
## CuRuRh2 (PBE-GGA)

Data for an optimized crystal structure of CuRuRh2.

a b c (Å): 2.7274 2.7274 7.3577
angles (deg): 90.00 90.00 90.00
Last column: nearest neighbours and their distance in Å.
Fractional positions:
Ru (0.5000, 0.5000, 0.5000)  8 Rh 2.67, 4 Ru 2.73
Rh (0.0000, 0.0000, 0.7510)  4 Cu 2.66, 4 Ru 2.67, 4 Rh 2.73
Rh (0.0000, 0.0000, 0.2490)  4 Cu 2.66, 4 Ru 2.67, 4 Rh 2.73
Cu (0.5000, 0.5000, 0.0000)  8 Rh 2.66, 4 Cu 2.73

Summary:
The formation energy comes out at 29 meV per atom. The crystal system is tetragonal. Its density of states at the Fermi level is 0.869 states/eV per atom. The value obtained for the total energy is -6.99 eV per atom. The calculation puts the distance to the lowest polymorph of the same formula at 0 meV per atom.


no.,total magnetization (μB/atom)
1,0.078
2,0.000
3,0.235
4,0.870
5,0.000
6,0.000
7,1.000
8,3.747
9,0.000
10,0.000
11,0.667
12,0.000